No. 1
Ba6SnSe2I3: optimized geometry, PBE.

Summary:
Formation energy (no corrections) ... -1.53 eV per atom

a = 8.4841 Å, b = 14.6891 Å, c = 8.7906 Å
α = 90.00°, β = 108.73°, γ = 90.00°
Space group C2/m (No. 12)
Symmetry-distinct sites (fractional):
Ba  0.2332  0.0000  0.2144 (multiplicity 4)
Ba  0.2404  0.3309  0.2144 (multiplicity 8)
Sn  0.0000  0.5000  0.0000 (multiplicity 2)
Se  0.0000  0.1666  0.0000 (multiplicity 4)
I  0.0000  0.0000  0.5000 (multiplicity 2)
I  0.0000  0.3342  0.5000 (multiplicity 4)



No. 2
Sc12SiNi6: optimized geometry, PBE.

Summary:
Formation energy (no corrections) ... -0.41 eV per atom

a = 8.9598 Å, b = 8.9598 Å, c = 8.9598 Å
α = 90.00°, β = 90.00°, γ = 90.00°
Space group Im-3 (No. 204)
Symmetry-distinct sites (fractional):
Sc  0.0000  0.1867  0.2945 (multiplicity 24)
Si  0.0000  0.0000  0.0000 (multiplicity 2)
Ni  0.0000  0.3668  0.5000 (multiplicity 12)



No. 3
K2CoIr: optimized geometry, PBE.

Summary:
Energy relative to the lowest polymorph listed for this composition ... 612.9 meV per atom

a = 2.8059 Å, b = 5.3747 Å, c = 5.5352 Å
α = 90.00°, β = 90.00°, γ = 90.00°
Space group Pmmm (No. 47)
Symmetry-distinct sites (fractional):
K  0.0000  0.0000  0.2490 (multiplicity 2)
Co  0.5000  0.5000  0.5000 (multiplicity 1)
Ir  0.5000  0.5000  0.0000 (multiplicity 1)